No. 1
Entry from Alexandria: a relaxed CuAg2BBr crystal (GGA-PBE).

## Properties
Raw formation energy in kcal/mol of atoms: 17.0
Uncorrected energy in eV/cell: -14.5
DOS at the Fermi energy in states/eV/cell: 2.7

Cell lengths 5.1164, 5.1164, 3.8248 Å; angles 90.00, 90.00, 90.00 degrees
With the nearest neighbours (Å) after each atom.
Space group P4/mmm (No. 123)
Unique sites:
Cu1 0.0000 0.0000 0.0000 (multiplicity 1)  2 B 1.91
Ag1 0.0000 0.5000 0.0000 (multiplicity 2)  2 Cu 2.56
B1 0.0000 0.0000 0.5000 (multiplicity 1)  2 Cu 1.91
Br1 0.5000 0.5000 0.5000 (multiplicity 1)  8 Ag 3.19



No. 2
Entry from Alexandria: a relaxed TbLuIrPb crystal (GGA-PBE).

## Properties
Uncorrected energy in eV/cell: -94.6
DOS at the Fermi energy in states/eV/cell: 15.4
Formation energy from the elements in eV per atom: -0.483

Cell lengths 7.2106, 7.2106, 7.2106 Å; angles 90.00, 90.00, 90.00 degrees
With the nearest neighbours (Å) after each atom.
Space group F-43m (No. 216)
Unique sites:
Tb1 0.0000 0.0000 0.0000 (multiplicity 4)  4 Ir 3.12, 4 Pb 3.12
Lu1 0.0000 0.0000 0.5000 (multiplicity 4)  4 Pb 3.12, 4 Ir 3.12
Ir1 0.2500 0.2500 0.2500 (multiplicity 4)  4 Tb 3.12, 4 Lu 3.12
Pb1 0.2500 0.2500 0.7500 (multiplicity 4)  4 Tb 3.12, 4 Lu 3.12



No. 3
Entry from Alexandria: a relaxed PmSmHo4 crystal (GGA-PBE).

## Properties
Uncorrected energy in eV/cell: -109.6
DOS at the Fermi energy in states/eV/cell: 40.6
Formation energy from the elements in eV per atom: 0.063
Polymorph energy (0 for the lowest one) in eV/atom: 0.044

Cell lengths 5.7069, 22.4113, 6.0820 Å; angles 90.00, 90.00, 90.00 degrees
With the nearest neighbours (Å) after each atom.
Space group Imma (No. 74)
Unique sites:
Pm1 0.0000 0.0000 0.0000 (multiplicity 4)  6 Ho 3.33-3.52
Sm1 0.0000 0.2500 0.4256 (multiplicity 4)  10 Ho 3.53-3.58, 2 Sm 3.56
Ho1 0.0000 0.0902 0.4358 (multiplicity 8)  3 Pm 3.33-3.52, 6 Ho 3.43-3.64, 1 Sm 3.58
Ho2 0.0000 0.1670 0.9233 (multiplicity 8)  7 Ho 3.43-3.72, 4 Sm 3.53-3.58, 1 Pm 3.77



No. 4
Entry from Alexandria: a relaxed TcPtRh3 crystal (GGA-PBE).

## Properties
Uncorrected energy in eV/cell: -155.6
DOS at the Fermi energy in states/eV/cell: 25.7
Formation energy from the elements in eV per atom: -0.086
Polymorph energy (0 for the lowest one) in eV/atom: 0.000

Cell lengths 13.9952, 3.8613, 5.4833 Å; angles 90.00, 101.52, 90.00 degrees
With the nearest neighbours (Å) after each atom.
Space group C2/m (No. 12)
Unique sites:
Tc1 0.2046 0.0000 0.3633 (multiplicity 4)  2 Tc 2.61, 8 Rh 2.65-2.83, 2 Pt 2.79
Pt1 0.1000 0.5000 0.0512 (multiplicity 4)  9 Rh 2.71-2.78, 1 Pt 2.74, 2 Tc 2.79
Rh1 0.0035 0.0000 0.2555 (multiplicity 4)  7 Rh 2.70-2.83, 4 Pt 2.72-2.77, 1 Tc 2.76
Rh2 0.1024 0.5000 0.5479 (multiplicity 4)  3 Tc 2.65-2.72, 7 Rh 2.71-2.81, 2 Pt 2.72-2.77
Rh3 0.2026 0.0000 0.8459 (multiplicity 4)  4 Tc 2.65-2.83, 3 Pt 2.71-2.78, 5 Rh 2.73-2.83



No. 5
Entry from Alexandria: a relaxed Rb2BiAuN crystal (GGA-PBE).

## Properties
Raw formation energy in kcal/mol of atoms: 17.1
Uncorrected energy in eV/cell: -13.7
DOS at the Fermi energy in states/eV/cell: 4.0

Cell lengths 6.7966, 6.7966, 5.3668 Å; angles 90.00, 90.00, 90.00 degrees
With the nearest neighbours (Å) after each atom.
Space group P4/mmm (No. 123)
Unique sites:
Rb1 0.0000 0.5000 0.0000 (multiplicity 2)  2 Au 3.40
Bi1 0.0000 0.0000 0.5000 (multiplicity 1)  2 Au 2.68
Au1 0.0000 0.0000 0.0000 (multiplicity 1)  2 Bi 2.68
N1 0.5000 0.5000 0.5000 (multiplicity 1)  8 Rb 4.33, 4 Bi 4.81



No. 6
Entry from Alexandria: a relaxed CaScPa2P4 crystal (GGA-PBE).

## Properties
Uncorrected energy in eV/cell: -118.5
DOS at the Fermi energy in states/eV/cell: 15.1
Formation energy from the elements in eV per atom: -1.287

Cell lengths 5.5818, 5.5818, 11.1943 Å; angles 90.00, 90.00, 90.00 degrees
With the nearest neighbours (Å) after each atom.
Space group I-4m2 (No. 119)
Unique sites:
Ca1 0.0000 0.0000 0.0000 (multiplicity 2)  6 P 2.79-2.85
Sc1 0.0000 0.5000 0.7500 (multiplicity 2)  6 P 2.77-2.79
Pa1 0.0000 0.0000 0.5000 (multiplicity 2)  6 P 2.75-2.79
Pa2 0.0000 0.5000 0.2500 (multiplicity 2)  6 P 2.79-2.82
P1 0.0000 0.0000 0.2543 (multiplicity 4)  3 Pa 2.75-2.79, 2 Sc 2.79, 1 Ca 2.85
P2 0.0000 0.5000 0.5022 (multiplicity 4)  1 Sc 2.77, 3 Pa 2.79-2.82, 2 Ca 2.79



> Among the records above, which one has the highest DOS at the Fermi energy?

PmSmHo4



> What is the uncorrected energy in the second record?

-94.6 eV/cell